1.
Entry from Alexandria: Ba3PbS4O16 after structural relaxation (PBE).

Properties
Formation energy without anion corrections ... -2.04 eV per atom
Fermi-level density of states ... 0.000 states/eV/atom
Space group ... Pm, No. 6
Mass density ... 4.676 g cm⁻³

Lattice parameters (Å, degrees): 5.5449 7.2275 8.8926 89.50 90.00 90.00
Last column: nearest neighbours and their distance in Å.
Element x y z (fractional)
O: 0.0000 0.5447 0.8109  1 S 1.48
O: 0.0000 0.9057 0.5899  1 S 1.47
O: 0.5000 0.4548 0.1811  1 S 1.49
O: 0.2812 0.3060 0.5815  1 S 1.50
O: 0.5000 0.1080 0.4091  1 S 1.48
O: 0.5000 0.0397 0.6819  1 S 1.50
O: 0.7188 0.3060 0.5815  1 S 1.50
O: 0.7794 0.8070 0.9110  1 S 1.51
O: 0.7188 0.1914 0.0805  1 S 1.51
O: 0.0000 0.6072 0.0842  1 S 1.48
O: 0.2202 0.6902 0.4320  1 S 1.51
O: 0.7798 0.6902 0.4320  1 S 1.51
O: 0.0000 0.9444 0.3145  1 S 1.49
O: 0.5000 0.3941 0.9077  1 S 1.48
O: 0.2206 0.8070 0.9110  1 S 1.51
O: 0.2812 0.1914 0.0805  1 S 1.51
S: 0.5000 0.1867 0.5620  4 O 1.48-1.50
S: 0.0000 0.6859 0.9306  4 O 1.48-1.51
S: 0.0000 0.8118 0.4442  4 O 1.47-1.51
S: 0.5000 0.3127 0.0608  4 O 1.48-1.51
Pb: 0.5000 0.6703 0.6926  6 O 2.67-2.79
Ba: 0.0000 0.1597 0.8160  8 O 2.73-2.94
Ba: 0.5000 0.8426 0.1867  10 O 2.77-3.09
Ba: 0.0000 0.3425 0.3177  10 O 2.81-3.13



2.
Entry from Alexandria: Ba2PbS3O12 after structural relaxation (PBE).

Properties
Formation energy without anion corrections ... -1.97 eV per atom
Fermi-level density of states ... 0.000 states/eV/atom
Space group ... Pm, No. 6
Mass density ... 4.792 g cm⁻³

Lattice parameters (Å, degrees): 5.5546 8.8697 21.6670 90.41 90.00 90.00
Last column: nearest neighbours and their distance in Å.
Element x y z (fractional)
Ba: 0.5000 0.1837 0.3873  8 O 2.73-2.95
Ba: 0.5000 0.1834 0.7200  8 O 2.72-2.94
Ba: 0.0000 0.8139 0.2807  8 O 2.76-2.95
Ba: 0.5000 0.6855 0.1149  10 O 2.79-3.12
Ba: 0.5000 0.1846 0.0514  8 O 2.79-2.93
Ba: 0.5000 0.6821 0.4476  10 O 2.80-3.13
Ba: 0.0000 0.8126 0.6146  10 O 2.76-3.08
Ba: 0.5000 0.6800 0.7809  8 O 2.78-2.94
O: 0.2183 0.9196 0.3972  1 S 1.51
O: 0.7201 0.5870 0.8979  1 S 1.52
O: 0.0000 0.0901 0.8005  1 S 1.48
O: 0.0000 0.8155 0.8204  1 S 1.49
O: 0.0000 0.0919 0.4652  1 S 1.48
O: 0.0000 0.5906 0.3686  1 S 1.48
O: 0.7202 0.0876 0.6029  1 S 1.51
O: 0.5000 0.6873 0.6480  1 S 1.49
O: 0.2797 0.0849 0.9350  1 S 1.52
O: 0.5000 0.4110 0.6362  1 S 1.47
O: 0.5000 0.9139 0.8670  1 S 1.47
O: 0.7202 0.0914 0.2689  1 S 1.51
O: 0.0000 0.3160 0.0118  1 S 1.50
O: 0.7813 0.4170 0.7688  1 S 1.50
O: 0.7199 0.5679 0.2302  1 S 1.51
O: 0.5000 0.4146 0.9643  1 S 1.47
O: 0.5000 0.1883 0.8480  1 S 1.48
O: 0.5000 0.9162 0.2032  1 S 1.47
O: 0.5000 0.6885 0.9859  1 S 1.49
O: 0.5000 0.1911 0.5159  1 S 1.48
O: 0.2798 0.0876 0.6029  1 S 1.51
O: 0.7820 0.9183 0.7325  1 S 1.50
O: 0.2187 0.4233 0.0990  1 S 1.50
O: 0.7199 0.5679 0.5637  1 S 1.51
O: 0.2180 0.9183 0.7325  1 S 1.50
O: 0.5000 0.4099 0.3023  1 S 1.47
O: 0.0000 0.0932 0.1318  1 S 1.48
O: 0.0000 0.8176 0.4850  1 S 1.49
O: 0.5000 0.9164 0.5352  1 S 1.47
O: 0.2798 0.0914 0.2689  1 S 1.51
O: 0.7816 0.4186 0.4352  1 S 1.50
O: 0.7817 0.9196 0.3972  1 S 1.51
O: 0.7809 0.9215 0.0641  1 S 1.50
O: 0.7813 0.4233 0.0990  1 S 1.50
O: 0.2187 0.4170 0.7688  1 S 1.50
O: 0.2801 0.5679 0.2302  1 S 1.51
O: 0.0000 0.8184 0.1514  1 S 1.49
O: 0.0000 0.5901 0.7029  1 S 1.48
O: 0.2191 0.9215 0.0641  1 S 1.50
O: 0.0000 0.3170 0.3466  1 S 1.50
O: 0.2799 0.5870 0.8979  1 S 1.52
O: 0.7203 0.0849 0.9350  1 S 1.52
O: 0.5000 0.6861 0.3148  1 S 1.49
O: 0.2184 0.4186 0.4352  1 S 1.50
O: 0.2801 0.5679 0.5637  1 S 1.51
O: 0.0000 0.3164 0.6802  1 S 1.50
O: 0.0000 0.5919 0.0311  1 S 1.49
O: 0.5000 0.1894 0.1807  1 S 1.48
Pb: 0.0000 0.2851 0.8911  4 O 2.55-2.63
Pb: 0.0000 0.3089 0.2254  6 O 2.63-2.78
Pb: 0.0000 0.7868 0.9435  4 O 2.55-2.68
Pb: 0.0000 0.3076 0.5575  6 O 2.66-2.79
S: 0.0000 0.4397 0.0592  4 O 1.49-1.50
S: 0.5000 0.5559 0.2708  4 O 1.47-1.51
S: 0.5000 0.0693 0.5624  4 O 1.47-1.51
S: 0.0000 0.4379 0.3954  4 O 1.48-1.50
S: 0.5000 0.0657 0.8943  4 O 1.47-1.52
S: 0.0000 0.9368 0.7730  4 O 1.48-1.50
S: 0.0000 0.9399 0.1040  4 O 1.48-1.50
S: 0.5000 0.5564 0.6043  4 O 1.47-1.51
S: 0.0000 0.9387 0.4377  4 O 1.48-1.51
S: 0.0000 0.4366 0.7293  4 O 1.48-1.50
S: 0.5000 0.0710 0.2285  4 O 1.47-1.51
S: 0.5000 0.5670 0.9384  4 O 1.47-1.52



3.
Entry from Alexandria: BaPb2SO2 after structural relaxation (PBE).

Properties
Formation energy without anion corrections ... -1.45 eV per atom
Fermi-level density of states ... 0.000 states/eV/atom
Space group ... P2_1/m, No. 11
Mass density ... 6.606 g cm⁻³

Lattice parameters (Å, degrees): 6.1918 7.2889 7.4010 112.05 90.00 90.00
Last column: nearest neighbours and their distance in Å.
Element x y z (fractional)
Pb: 0.2500 0.0814 0.4259  2 O 2.23
Pb: 0.7500 0.3589 0.3892  2 O 2.23
Pb: 0.2500 0.6411 0.6108  2 O 2.23
Pb: 0.7500 0.9186 0.5741  2 O 2.23
Ba: 0.7500 0.8085 0.0339  4 O 2.69-2.73
Ba: 0.2500 0.1915 0.9661  4 O 2.69-2.73
O: 0.9970 0.1312 0.2340  2 Pb 2.23
O: 0.0031 0.8688 0.7660  2 Pb 2.23
O: 0.4970 0.8688 0.7660  2 Pb 2.23
O: 0.5030 0.1312 0.2340  2 Pb 2.23
S: 0.7500 0.3216 0.7519  2 Pb 2.73-2.80
S: 0.2500 0.6784 0.2481  2 Pb 2.73-2.80



4.
Entry from Alexandria: Ba4SbPbO after structural relaxation (PBE).

Properties
Formation energy without anion corrections ... -1.26 eV per atom
Fermi-level density of states ... 0.646 states/eV/atom
Space group ... Cmcm, No. 63
Mass density ... 5.533 g cm⁻³

Lattice parameters (Å, degrees): 7.5764 7.5692 10.0970 90.00 112.04 90.00
Last column: nearest neighbours and their distance in Å.
Element x y z (fractional)
Ba: 0.9296 0.2500 0.8593  3 Sb 3.48-3.88, 1 O 3.67, 2 Pb 3.87
Ba: 0.0000 0.0000 0.5000  2 O 2.69
Ba: 0.5873 0.2500 0.1745  1 O 2.74
Ba: 0.0000 0.5000 0.5000  2 O 2.69
Ba: 0.4127 0.7500 0.8255  1 O 2.74
Ba: 0.5000 0.0000 0.5000  2 O 2.69
Ba: 0.0704 0.7500 0.1407  3 Sb 3.48-3.88, 1 O 3.67, 2 Pb 3.87
Ba: 0.5000 0.5000 0.5000  2 O 2.69
O: 0.2664 0.7500 0.5328  5 Ba 2.69-2.74
O: 0.7336 0.2500 0.4672  5 Ba 2.69-2.74
Pb: 0.6118 0.7500 0.2235  9 Ba 3.72-3.87
Pb: 0.3882 0.2500 0.7765  9 Ba 3.72-3.87
Sb: 0.1153 0.2500 0.2306  9 Ba 3.48-3.88
Sb: 0.8847 0.7500 0.7694  9 Ba 3.48-3.88